CaPm2TmS4 | PBE | relaxed

Properties
Theoretical density ... 5.85 g/cm³
Final energy ... -6.084 eV per atom

abc: 6.8606 3.9496 6.9507
angles: 90.00 108.99 90.00
With the nearest neighbours (Å) after each atom.
Space group P2/m (No. 10)
Symmetry-distinct sites (fractional):
Ca 0.0000 0.0000 0.0000  6 S 2.78-2.79
Pm 0.0000 0.5000 0.5000  6 S 2.88-2.89
Pm 0.5000 0.0000 0.5000  6 S 2.84-2.85
Tm 0.5000 0.5000 0.0000  6 S 2.74-2.75
S 0.2515 0.5000 0.2389  1 Tm 2.74, 2 Ca 2.79, 3 Pm 2.84-2.88
S 0.2590 0.0000 0.7653  2 Tm 2.75, 1 Ca 2.78, 3 Pm 2.85-2.89